1.
A relaxed structure of As2IrPb, computed with PBE.

The calculation puts the density of states at the Fermi level at 1.30 states/eV/cell. The symmetry is No. 10. For the energy relative to the lowest polymorph listed for this composition, the calculation gives 0 meV/atom. The energy of formation from the pure elements is -0.05 eV per atom.

a = 4.634 Å, b = 4.046 Å, c = 4.964 Å
α = 90.00°, β = 111.17°, γ = 90.00°
Fractional coordinates of all 4 atoms:
As: 0.215 0.000 0.338
As: 0.785 0.000 0.662
Ir: 0.000 0.500 0.500
Pb: 0.500 0.500 0.000

2.
A relaxed structure of Er5AgBi2, computed with PBE.

The calculation puts the density of states at the Fermi level at 8.72 states/eV/cell. The symmetry is No. 63. The energy of formation from the pure elements is -0.22 eV per atom.

a = 6.522 Å, b = 6.522 Å, c = 14.423 Å
α = 90.00°, β = 90.00°, γ = 129.14°
Fractional coordinates of all 16 atoms:
Er: 0.070 0.930 0.599
Er: 0.070 0.930 0.901
Er: 0.382 0.618 0.554
Er: 0.382 0.618 0.946
Er: 0.411 0.589 0.250
Er: 0.589 0.411 0.750
Er: 0.618 0.382 0.054
Er: 0.618 0.382 0.446
Er: 0.930 0.070 0.099
Er: 0.930 0.070 0.401
Ag: 0.256 0.744 0.750
Ag: 0.744 0.256 0.250
Bi: 0.205 0.795 0.115
Bi: 0.205 0.795 0.385
Bi: 0.795 0.205 0.615
Bi: 0.795 0.205 0.885